(1)
# Sm2GeHPt6 (PBE, relaxed)
# Energy: -6.1680 eV/atom
data_Sm2GeHPt6
_chemical_formula_sum 'Sm4 Ge2 H2 Pt12'
_space_group_name_H-M_alt 'C 1 2/m 1'
_space_group_IT_number 12
_cell_length_a 9.8889
_cell_length_b 5.7112
_cell_length_c 6.9607
_cell_angle_alpha 90.00
_cell_angle_beta 118.40
_cell_angle_gamma 90.00
loop_
_space_group_symop_operation_xyz
'x,y,z'
'-x,-y,-z'
'-x,y,-z'
'x,-y,z'
'x+1/2,y+1/2,z'
'-x+1/2,-y+1/2,-z'
'-x+1/2,y+1/2,-z'
'x+1/2,-y+1/2,z'
loop_
_atom_site_label
_atom_site_type_symbol
_atom_site_fract_x
_atom_site_fract_y
_atom_site_fract_z
Sm1 Sm 0.2168 0.0000 0.1517
Ge1 Ge 0.0000 0.5000 0.0000
H1 H 0.0000 0.0000 0.5000
Pt1 Pt 0.0194 0.2512 0.3083
Pt2 Pt 0.2314 0.0000 0.6908

(2)
# Ta2GeHPt (PBE, relaxed)
# Energy: -7.6995 eV/atom
data_Ta2GeHPt
_chemical_formula_sum 'Ta2 Ge1 H1 Pt1'
_space_group_name_H-M_alt 'P 4/m m m'
_space_group_IT_number 123
_space_group_name_Hall '-P 4 2'
_cell_length_a 4.0056
_cell_length_b 4.0056
_cell_length_c 4.3139
_cell_angle_alpha 90.00
_cell_angle_beta 90.00
_cell_angle_gamma 90.00
loop_
_atom_site_label
_atom_site_type_symbol
_atom_site_fract_x
_atom_site_fract_y
_atom_site_fract_z
Ta1 Ta 0.0000 0.5000 0.0000
Ge1 Ge 0.0000 0.0000 0.5000
H1 H 0.5000 0.5000 0.0000
Pt1 Pt 0.5000 0.5000 0.5000

(3)
# Tb2GeHPt6 (PBE, relaxed)
# Energy: -6.1714 eV/atom
data_Tb2GeHPt6
_chemical_formula_sum 'Tb4 Ge2 H2 Pt12'
_space_group_name_H-M_alt 'C 1 2/m 1'
_space_group_IT_number 12
_cell_length_a 9.8128
_cell_length_b 5.6664
_cell_length_c 6.9373
_cell_angle_alpha 90.00
_cell_angle_beta 118.28
_cell_angle_gamma 90.00
loop_
_space_group_symop_operation_xyz
'x,y,z'
'-x,-y,-z'
'-x,y,-z'
'x,-y,z'
'x+1/2,y+1/2,z'
'-x+1/2,-y+1/2,-z'
'-x+1/2,y+1/2,-z'
'x+1/2,-y+1/2,z'
loop_
_atom_site_label
_atom_site_type_symbol
_atom_site_fract_x
_atom_site_fract_y
_atom_site_fract_z
Tb1 Tb 0.2156 0.0000 0.1483
Ge1 Ge 0.0000 0.5000 0.0000
H1 H 0.0000 0.0000 0.5000
Pt1 Pt 0.0184 0.2506 0.3063
Pt2 Pt 0.2317 0.0000 0.6927

(4)
# V2GeHPt (PBE, relaxed)
# Energy: -6.7016 eV/atom
data_V2GeHPt
_chemical_formula_sum 'V2 Ge1 H1 Pt1'
_space_group_name_H-M_alt 'P 4/m m m'
_space_group_IT_number 123
_space_group_name_Hall '-P 4 2'
_cell_length_a 3.7387
_cell_length_b 3.7387
_cell_length_c 4.2286
_cell_angle_alpha 90.00
_cell_angle_beta 90.00
_cell_angle_gamma 90.00
loop_
_atom_site_label
_atom_site_type_symbol
_atom_site_fract_x
_atom_site_fract_y
_atom_site_fract_z
V1 V 0.0000 0.5000 0.0000
Ge1 Ge 0.0000 0.0000 0.5000
H1 H 0.5000 0.5000 0.0000
Pt1 Pt 0.5000 0.5000 0.5000

(5)
# Y2GeHPt6 (PBE, relaxed)
# Energy: -6.5304 eV/atom
data_Y2GeHPt6
_chemical_formula_sum 'Y4 Ge2 H2 Pt12'
_space_group_name_H-M_alt 'C 1 2/m 1'
_space_group_IT_number 12
_cell_length_a 9.8096
_cell_length_b 5.6641
_cell_length_c 6.9327
_cell_angle_alpha 90.00
_cell_angle_beta 118.28
_cell_angle_gamma 90.00
loop_
_space_group_symop_operation_xyz
'x,y,z'
'-x,-y,-z'
'-x,y,-z'
'x,-y,z'
'x+1/2,y+1/2,z'
'-x+1/2,-y+1/2,-z'
'-x+1/2,y+1/2,-z'
'x+1/2,-y+1/2,z'
loop_
_atom_site_label
_atom_site_type_symbol
_atom_site_fract_x
_atom_site_fract_y
_atom_site_fract_z
Y1 Y 0.2150 0.0000 0.1465
Ge1 Ge 0.0000 0.5000 0.0000
H1 H 0.0000 0.0000 0.5000
Pt1 Pt 0.0184 0.2506 0.3063
Pt2 Pt 0.2317 0.0000 0.6926

(6)
# Zr2GeHPt (PBE, relaxed)
# Energy: -6.8285 eV/atom
data_Zr2GeHPt
_chemical_formula_sum 'Zr2 Ge1 H1 Pt1'
_space_group_name_H-M_alt 'P 4/m m m'
_space_group_IT_number 123
_space_group_name_Hall '-P 4 2'
_cell_length_a 4.3933
_cell_length_b 4.3933
_cell_length_c 4.0051
_cell_angle_alpha 90.00
_cell_angle_beta 90.00
_cell_angle_gamma 90.00
loop_
_atom_site_label
_atom_site_type_symbol
_atom_site_fract_x
_atom_site_fract_y
_atom_site_fract_z
Zr1 Zr 0.0000 0.5000 0.0000
Ge1 Ge 0.0000 0.0000 0.5000
H1 H 0.5000 0.5000 0.0000
Pt1 Pt 0.5000 0.5000 0.5000

(7)
# Pu3GeH3 (PBE, relaxed)
# Energy: -8.4347 eV/atom
data_Pu3GeH3
_chemical_formula_sum 'Pu18 Ge6 H18'
_space_group_name_H-M_alt 'R -3'
_space_group_IT_number 148
_space_group_name_Hall '-R 3'
_cell_length_a 6.3162
_cell_length_b 6.3162
_cell_length_c 20.8285
_cell_angle_alpha 90.00
_cell_angle_beta 90.00
_cell_angle_gamma 120.00
loop_
_atom_site_label
_atom_site_type_symbol
_atom_site_fract_x
_atom_site_fract_y
_atom_site_fract_z
Pu1 Pu 0.0047 0.3816 0.2596
Ge1 Ge 0.0000 0.0000 0.1780
H1 H 0.0090 0.2868 0.7022

(8)
# Pu8Ge5H (PBE, relaxed)
# Energy: -10.3837 eV/atom
data_Pu8Ge5H
_chemical_formula_sum 'Pu16 Ge10 H2'
_space_group_name_H-M_alt 'I -4'
_space_group_IT_number 82
_cell_length_a 8.5939
_cell_length_b 8.5939
_cell_length_c 8.6940
_cell_angle_alpha 90.00
_cell_angle_beta 90.00
_cell_angle_gamma 90.00
loop_
_space_group_symop_operation_xyz
'x,y,z'
'y,-x,-z'
'-x,-y,z'
'-y,x,-z'
'x+1/2,y+1/2,z+1/2'
'y+1/2,-x+1/2,-z+1/2'
'-x+1/2,-y+1/2,z+1/2'
'-y+1/2,x+1/2,-z+1/2'
loop_
_atom_site_label
_atom_site_type_symbol
_atom_site_fract_x
_atom_site_fract_y
_atom_site_fract_z
Pu1 Pu 0.0751 0.1708 0.1953
Pu2 Pu 0.0784 0.3017 0.5373
Ge1 Ge 0.0000 0.5000 0.2500
Ge2 Ge 0.1165 0.2599 0.8718
H1 H 0.0000 0.0000 0.5000